1.
# Pm2MnH12Rh3

A geometry-optimized Pm2MnH12Rh3 structure (PBE-GGA, Alexandria via LeMat-Bulk).

Lattice parameters (Å, degrees): 5.946 5.946 5.946 63.15 63.15 63.15
Element x y z (fractional)
Pm: 0.121 0.121 0.121
Pm: 0.879 0.879 0.879
Mn: 0.500 0.500 0.500
H: 0.137 0.612 0.612
H: 0.172 0.172 0.636
H: 0.172 0.636 0.172
H: 0.364 0.828 0.828
H: 0.388 0.388 0.863
H: 0.388 0.863 0.388
H: 0.612 0.137 0.612
H: 0.612 0.612 0.137
H: 0.636 0.172 0.172
H: 0.828 0.364 0.828
H: 0.828 0.828 0.364
H: 0.863 0.388 0.388
Rh: 0.000 0.500 0.500
Rh: 0.500 0.000 0.500
Rh: 0.500 0.500 0.000

## Properties
magnetization: 0.17 μB per atom
E: -85.61 eV per cell
mass density: 6.95 g cm⁻³
symmetry: R-3m, No. 166

=====

2.
# CaCr2PtS

A geometry-optimized CaCr2PtS structure (PBE-GGA, Alexandria via LeMat-Bulk).

Lattice parameters (Å, degrees): 4.400 4.400 4.950 90.00 90.00 90.00
Element x y z (fractional)
Ca: 0.000 0.000 0.000
Cr: 0.000 0.500 0.000
Cr: 0.500 0.000 0.000
Pt: 0.000 0.000 0.500
S: 0.500 0.500 0.500

## Properties
magnetization: 0.00 μB per atom
mass density: 6.43 g cm⁻³
symmetry: P4/mmm, No. 123
raw formation energy: 2.4536 eV per atom

=====

3.
# Dy5Cd4Co

A geometry-optimized Dy5Cd4Co structure (PBE-GGA, Alexandria via LeMat-Bulk).

Lattice parameters (Å, degrees): 3.426 3.426 20.916 90.00 90.00 90.00
Element x y z (fractional)
Dy: 0.000 0.000 0.000
Dy: 0.000 0.000 0.211
Dy: 0.000 0.000 0.422
Dy: 0.000 0.000 0.578
Dy: 0.000 0.000 0.789
Cd: 0.500 0.500 0.106
Cd: 0.500 0.500 0.314
Cd: 0.500 0.500 0.686
Cd: 0.500 0.500 0.894
Co: 0.500 0.500 0.500

## Properties
magnetization: 0.08 μB per atom
mass density: 8.94 g cm⁻³
symmetry: P4/mmm, No. 123
E_form: -2.71 eV/f.u.

=====

4.
# NbAl3Rh

A geometry-optimized NbAl3Rh structure (PBE-GGA, Alexandria via LeMat-Bulk).

Lattice parameters (Å, degrees): 4.553 4.553 4.553 90.00 90.00 90.00
Element x y z (fractional)
Nb: 0.000 0.000 0.000
Al: 0.000 0.500 0.500
Al: 0.500 0.000 0.500
Al: 0.500 0.500 0.000
Rh: 0.500 0.500 0.500

## Properties
magnetization: 0.00 μB per atom
mass density: 4.87 g cm⁻³
symmetry: Pm-3m, No. 221
E above lowest polymorph: 0 meV per atom
E_form: 1.21 eV/f.u.

=====

5.
# Ca2SmAs3Pt4

A geometry-optimized Ca2SmAs3Pt4 structure (PBE-GGA, Alexandria via LeMat-Bulk).

Lattice parameters (Å, degrees): 4.304 4.304 11.419 90.00 90.00 90.00
Element x y z (fractional)
Ca: 0.000 0.500 0.218
Ca: 0.500 0.000 0.782
Sm: 0.000 0.000 0.500
As: 0.000 0.500 0.876
As: 0.500 0.000 0.124
As: 0.500 0.500 0.500
Pt: 0.000 0.000 0.000
Pt: 0.000 0.500 0.663
Pt: 0.500 0.000 0.337
Pt: 0.500 0.500 0.000

## Properties
magnetization: 0.00 μB per atom
mass density: 9.70 g cm⁻³
symmetry: P-4m2, No. 115
E_form: -8.36 eV/f.u.

=====

6.
# CePa3Ge5

A geometry-optimized CePa3Ge5 structure (PBE-GGA, Alexandria via LeMat-Bulk).

Lattice parameters (Å, degrees): 8.834 8.834 5.863 90.00 90.00 120.00
Element x y z (fractional)
Ce: 0.000 0.000 0.000
Ce: 0.000 0.000 0.500
Pa: 0.000 0.382 0.250
Pa: 0.000 0.618 0.750
Pa: 0.382 0.000 0.250
Pa: 0.382 0.382 0.750
Pa: 0.618 0.000 0.750
Pa: 0.618 0.618 0.250
Ge: 0.000 0.289 0.750
Ge: 0.000 0.711 0.250
Ge: 0.289 0.000 0.750
Ge: 0.289 0.289 0.250
Ge: 0.333 0.667 0.000
Ge: 0.333 0.667 0.500
Ge: 0.667 0.333 0.000
Ge: 0.667 0.333 0.500
Ge: 0.711 0.000 0.250
Ge: 0.711 0.711 0.750

## Properties
magnetization: 0.00 μB per atom
mass density: 10.03 g cm⁻³
symmetry: P6_3/mcm, No. 193
E_form: -4.57 eV/f.u.

=====

7.
# CuAg4

A geometry-optimized CuAg4 structure (PBE-GGA, Alexandria via LeMat-Bulk).

Lattice parameters (Å, degrees): 7.495 7.495 7.495 151.07 151.07 41.37
Element x y z (fractional)
Cu: 0.000 0.000 0.000
Ag: 0.250 0.750 0.500
Ag: 0.406 0.406 0.000
Ag: 0.594 0.594 0.000
Ag: 0.750 0.250 0.500

## Properties
magnetization: 0.00 μB per atom
mass density: 8.36 g cm⁻³
symmetry: I4/mmm, No. 139
E above lowest polymorph: 317 meV per atom
E_form: 1.98 eV/f.u.

=====

8.
# Cs2GaPdS4

A geometry-optimized Cs2GaPdS4 structure (PBE-GGA, Alexandria via LeMat-Bulk).

Lattice parameters (Å, degrees): 13.545 12.376 7.252 82.87 65.04 32.09
Element x y z (fractional)
Cs: 0.056 0.056 0.694
Cs: 0.306 0.306 0.944
Cs: 0.694 0.694 0.056
Cs: 0.944 0.944 0.306
Ga: 0.375 0.375 0.375
Ga: 0.625 0.625 0.625
Pd: 0.125 0.125 0.125
Pd: 0.875 0.875 0.875
S: 0.002 0.639 0.599
S: 0.260 0.599 0.639
S: 0.361 0.998 0.740
S: 0.401 0.740 0.998
S: 0.599 0.260 0.002
S: 0.639 0.002 0.260
S: 0.740 0.401 0.361
S: 0.998 0.361 0.401

## Properties
magnetization: 0.00 μB per atom
mass density: 3.70 g cm⁻³
symmetry: Fddd, No. 70
raw formation energy: -0.7286 eV per atom